Density functional theory data (PBE) for a relaxed structure of SrCd2P.

a b c (Å): 4.462 6.119 7.849
angles (deg): 90.00 90.00 90.00
Space group Imm2 (No. 44)
Symmetry-distinct sites (fractional):
Sr 0.000 0.000 0.000 x2
Cd 0.000 0.000 0.457 x2
Cd 0.000 0.500 0.194 x2
P 0.000 0.500 0.782 x2

Summary:
Its formation energy is -0.242 eV/atom. As for the total moment: 0.00 μB/f.u. Its total DFT energy (no corrections) is -2.472 eV per atom.